1.
# Mg3TcB7

A relaxed Mg3TcB7 crystal (PBE-GGA, OQMD).

Unit cell a=13.031 b=13.031 c=7.651 alpha=90.00 beta=90.00 gamma=167.05
Fractional positions:
1 B 0.533 0.467 0.000
2 B 0.467 0.533 0.000
3 B 0.627 0.373 0.202
4 B 0.373 0.627 0.202
5 B 0.849 0.151 0.272
6 B 0.151 0.849 0.272
7 B 0.657 0.343 0.391
8 B 0.343 0.657 0.391
9 B 0.657 0.343 0.609
10 B 0.343 0.657 0.609
11 B 0.849 0.151 0.728
12 B 0.151 0.849 0.728
13 B 0.627 0.373 0.798
14 B 0.373 0.627 0.798
15 Mg 0.700 0.300 0.000
16 Mg 0.300 0.700 0.000
17 Mg 0.947 0.053 0.310
18 Mg 0.053 0.947 0.310
19 Mg 0.947 0.053 0.690
20 Mg 0.053 0.947 0.690
21 Tc 0.897 0.103 0.000
22 Tc 0.103 0.897 0.000

Output
- SG: Cmmm, No. 65
- Magnetization: 0.008 Bohr magnetons per cell
- Raw total energy: -5.39 eV/atom

2.
# GaAg

A relaxed GaAg crystal (PBE-GGA, OQMD).

Unit cell a=3.854 b=3.854 c=3.854 alpha=60.00 beta=60.00 gamma=60.00
Fractional positions:
1 Ag 0.000 0.000 0.000
2 Ga 0.500 0.500 0.500

Output
- SG: Fm-3m, No. 225
- Raw total energy: -2.75 eV/atom